1:
YTcCl2 | the Alexandria database | GGA-PBE | optimized geometry; calculated density = 3.80 Mg/m³; space-group type = No. 12; DOS at the Fermi energy = 2.33 states/eV per cell; crystal system = monoclinic
1.0
6.861 -1.749 0.000
6.861 1.749 0.000
-0.237 0.000 4.696
Y Tc Cl
1 1 2
direct
0.000 0.000 0.000
0.500 0.500 0.500
0.358 0.358 0.778
0.642 0.642 0.222



2:
YTcCl2 | the Alexandria database | GGA-PBE | optimized geometry; calculated density = 4.29 Mg/m³; space-group type = No. 160; DOS at the Fermi energy = 1.76 states/eV per cell; crystal system = trigonal
1.0
1.784 1.030 9.052
-1.784 1.030 9.052
0.000 -2.060 9.052
Y Tc Cl
1 1 2
direct
0.000 0.000 0.000
0.250 0.250 0.250
0.538 0.538 0.538
0.734 0.734 0.734



What should be chosen as the least stable of them? Choose 2.



1:
YTcCl2 | the Alexandria database | GGA-PBE | optimized geometry; calculated density = 5.32 Mg/m³; space-group type = No. 166; DOS at the Fermi energy = 3.36 states/eV per cell; crystal system = trigonal
1.0
1.626 0.939 8.785
-1.626 0.939 8.785
0.000 -1.877 8.785
Y Tc Cl
1 1 2
direct
0.000 0.000 0.000
0.500 0.500 0.500
0.409 0.409 0.409
0.591 0.591 0.591



2:
YTcCl2 | the Alexandria database | GGA-PBE | optimized geometry; calculated density = 4.19 Mg/m³; space-group type = No. 71; DOS at the Fermi energy = 1.82 states/eV per cell; crystal system = orthorhombic
1.0
-1.847 2.221 6.223
1.847 -2.221 6.223
1.847 2.221 -6.223
Y Tc Cl
1 1 2
direct
0.000 0.000 0.000
0.500 0.500 0.000
0.364 0.864 0.500
0.636 0.136 0.500



3:
YTcCl2 | the Alexandria database | GGA-PBE | optimized geometry; calculated density = 5.21 Mg/m³; space-group type = No. 216; DOS at the Fermi energy = 4.42 states/eV per cell; crystal system = cubic
1.0
0.000 3.451 3.451
3.451 0.000 3.451
3.451 3.451 0.000
Y Tc Cl
1 1 2
direct
0.000 0.000 0.000
0.250 0.250 0.250
0.500 0.500 0.500
0.750 0.750 0.750



4:
YTcCl2 | the Alexandria database | GGA-PBE | optimized geometry; calculated density = 4.84 Mg/m³; space-group type = No. 44; DOS at the Fermi energy = 2.33 states/eV per cell; crystal system = orthorhombic
1.0
-1.642 1.999 6.732
1.642 -1.999 6.732
1.642 1.999 -6.732
Y Tc Cl
1 1 2
direct
0.000 0.000 0.000
0.836 0.336 0.500
0.351 0.851 0.500
0.599 0.599 0.000



What should be chosen as the least stable of them? Choose 3.



1:
YTcCl2 | the Alexandria database | GGA-PBE | optimized geometry; calculated density = 5.46 Mg/m³; space-group type = No. 119; DOS at the Fermi energy = 4.40 states/eV per cell; crystal system = tetragonal
1.0
-1.928 1.928 5.269
1.928 -1.928 5.269
1.928 1.928 -5.269
Y Tc Cl
1 1 2
direct
0.000 0.000 0.000
0.750 0.250 0.500
0.250 0.750 0.500
0.500 0.500 0.000



2:
YTcCl2 | the Alexandria database | GGA-PBE | optimized geometry; calculated density = 4.21 Mg/m³; space-group type = No. 8; crystal system = monoclinic
1.0
4.737 -1.827 0.000
4.737 1.827 0.000
-3.647 0.000 5.868
Y Tc Cl
1 1 2
direct
0.000 0.000 0.000
0.757 0.757 0.132
0.214 0.214 0.843
0.309 0.309 0.392



3:
YTcCl2 | the Alexandria database | GGA-PBE | optimized geometry; calculated density = 5.53 Mg/m³; space-group type = No. 225; DOS at the Fermi energy = 4.05 states/eV per cell; crystal system = cubic
1.0
0.000 3.382 3.382
3.382 0.000 3.382
3.382 3.382 0.000
Y Tc Cl
1 1 2
direct
0.000 0.000 0.000
0.500 0.500 0.500
0.250 0.250 0.250
0.750 0.750 0.750



4:
YTcCl2 | the Alexandria database | GGA-PBE | optimized geometry; calculated density = 5.33 Mg/m³; space-group type = No. 47; DOS at the Fermi energy = 2.69 states/eV per cell; crystal system = orthorhombic
1.0
3.235 0.000 0.000
0.000 4.409 0.000
0.000 0.000 5.635
Y Tc Cl
1 1 2
direct
0.000 0.000 0.000
0.500 0.000 0.500
0.000 0.500 0.500
0.500 0.500 0.000



What should be chosen as the least stable of them? Choose 1.



1:
YTcCl2 | the Alexandria database | GGA-PBE | optimized geometry; calculated density = 4.75 Mg/m³; space-group type = No. 65; DOS at the Fermi energy = 2.73 states/eV per cell; crystal system = orthorhombic
1.0
1.640 -3.079 0.000
1.640 3.079 0.000
0.000 0.000 8.934
Y Tc Cl
1 1 2
direct
0.000 0.000 0.000
0.000 0.000 0.500
0.500 0.500 0.250
0.500 0.500 0.750



2:
YTcCl2 | the Alexandria database | GGA-PBE | optimized geometry; calculated density = 4.96 Mg/m³; space-group type = No. 99; DOS at the Fermi energy = 3.19 states/eV per cell; crystal system = tetragonal
1.0
3.727 0.000 0.000
0.000 3.727 0.000
0.000 0.000 6.219
Y Tc Cl
1 1 2
direct
0.000 0.000 0.000
0.500 0.500 0.769
0.000 0.000 0.554
0.500 0.500 0.173



What should be chosen as the least stable of them? Choose 1.



1:
YTcCl2 | the Alexandria database | GGA-PBE | optimized geometry; calculated density = 4.71 Mg/m³; space-group type = No. 99; DOS at the Fermi energy = 2.06 states/eV per cell; crystal system = tetragonal
1.0
3.210 0.000 0.000
0.000 3.210 0.000
0.000 0.000 8.814
Y Tc Cl
1 1 2
direct
0.000 0.000 0.000
0.500 0.500 0.757
0.000 0.000 0.618
0.500 0.500 0.198



2:
YTcCl2 | the Alexandria database | GGA-PBE | optimized geometry; calculated density = 4.43 Mg/m³; space-group type = No. 6; crystal system = monoclinic
1.0
4.171 0.000 0.000
0.000 3.324 0.000
-2.080 0.000 6.967
Y Tc Cl
1 1 2
direct
0.000 0.000 0.000
0.583 0.500 0.168
0.406 0.500 0.814
0.705 0.000 0.414



3:
YTcCl2 | the Alexandria database | GGA-PBE | optimized geometry; calculated density = 4.20 Mg/m³; space-group type = No. 166; DOS at the Fermi energy = 2.72 states/eV per cell; crystal system = trigonal
1.0
1.707 0.985 10.109
-1.707 0.985 10.109
0.000 -1.971 10.109
Y Tc Cl
1 1 2
direct
0.000 0.000 0.000
0.500 0.500 0.500
0.271 0.271 0.271
0.729 0.729 0.729



4:
YTcCl2 | the Alexandria database | GGA-PBE | optimized geometry; calculated density = 5.03 Mg/m³; space-group type = No. 122; DOS at the Fermi energy = 3.32 states/eV per cell; crystal system = tetragonal
1.0
-2.241 2.241 8.483
2.241 -2.241 8.483
2.241 2.241 -8.483
Y Tc Cl
2 2 4
direct
0.000 0.000 0.000
0.750 0.250 0.500
0.250 0.750 0.500
0.500 0.500 0.000
0.147 0.625 0.022
0.375 0.397 0.522
0.603 0.125 0.978
0.875 0.853 0.478



What should be chosen as the least stable of them? Choose 3.



1:
YTcCl2 | the Alexandria database | GGA-PBE | optimized geometry; calculated density = 5.19 Mg/m³; space-group type = No. 123; DOS at the Fermi energy = 1.80 states/eV per cell; crystal system = tetragonal
1.0
3.408 0.000 0.000
0.000 3.408 0.000
0.000 0.000 7.099
Y Tc Cl
1 1 2
direct
0.000 0.000 0.000
0.000 0.000 0.500
0.500 0.500 0.215
0.500 0.500 0.785



2:
YTcCl2 | the Alexandria database | GGA-PBE | optimized geometry; calculated density = 5.46 Mg/m³; space-group type = No. 123; DOS at the Fermi energy = 2.32 states/eV per cell; crystal system = tetragonal
1.0
4.435 0.000 0.000
0.000 4.435 0.000
0.000 0.000 3.982
Y Tc Cl
1 1 2
direct
0.000 0.000 0.000
0.500 0.500 0.000
0.000 0.500 0.500
0.500 0.000 0.500



What should be chosen as the least stable of them? Choose 1.



1:
YTc2Cl2 | the Alexandria database | GGA-PBE | optimized geometry; calculated density = 6.57 Mg/m³; space-group type = No. 139; DOS at the Fermi energy = 4.54 states/eV per cell; crystal system = tetragonal
1.0
-2.060 2.060 5.300
2.060 -2.060 5.300
2.060 2.060 -5.300
Y Tc Cl
1 2 2
direct
0.000 0.000 0.000
0.250 0.750 0.500
0.750 0.250 0.500
0.366 0.366 0.000
0.634 0.634 0.000



2:
YTc2Cl2 | the Alexandria database | GGA-PBE | optimized geometry; calculated density = 6.06 Mg/m³; space-group type = No. 127; DOS at the Fermi energy = 6.55 states/eV per cell; crystal system = tetragonal
1.0
7.746 0.000 0.000
0.000 7.746 0.000
0.000 0.000 3.251
Y Tc Cl
2 4 4
direct
0.000 0.000 0.000
0.500 0.500 0.000
0.099 0.401 0.500
0.401 0.901 0.500
0.599 0.099 0.500
0.901 0.599 0.500
0.226 0.726 0.000
0.274 0.226 0.000
0.726 0.774 0.000
0.774 0.274 0.000



What should be chosen as the least stable of them? Choose 1.



1:
YTcCl3 | the Alexandria database | GGA-PBE | optimized geometry; calculated density = 4.55 Mg/m³; space-group type = No. 221; DOS at the Fermi energy = 3.87 states/eV per cell; crystal system = cubic
1.0
4.748 0.000 0.000
0.000 4.748 0.000
0.000 0.000 4.748
Y Tc Cl
1 1 3
direct
0.000 0.000 0.000
0.500 0.500 0.500
0.000 0.500 0.500
0.500 0.000 0.500
0.500 0.500 0.000



2:
YTcCl3 | the Alexandria database | GGA-PBE | optimized geometry; calculated density = 3.22 Mg/m³; space-group type = No. 221; DOS at the Fermi energy = 8.65 states/eV per cell; crystal system = cubic
1.0
5.329 0.000 0.000
0.000 5.329 0.000
0.000 0.000 5.329
Y Tc Cl
1 1 3
direct
0.000 0.000 0.000
0.500 0.500 0.500
0.000 0.000 0.500
0.000 0.500 0.000
0.500 0.000 0.000



What should be chosen as the least stable of them? Choose 1.



1:
Zn3TcCl | the Alexandria database | GGA-PBE | optimized geometry; calculated density = 5.72 Mg/m³; space-group type = No. 221; DOS at the Fermi energy = 0.54 states/eV per cell; crystal system = cubic
1.0
4.573 0.000 0.000
0.000 4.573 0.000
0.000 0.000 4.573
Zn Tc Cl
3 1 1
direct
0.000 0.000 0.500
0.000 0.500 0.000
0.500 0.000 0.000
0.500 0.500 0.500
0.000 0.000 0.000



2:
Zn3TcCl | the Alexandria database | GGA-PBE | optimized geometry; calculated density = 4.29 Mg/m³; space-group type = No. 221; DOS at the Fermi energy = 3.33 states/eV per cell; crystal system = cubic
1.0
5.036 0.000 0.000
0.000 5.036 0.000
0.000 0.000 5.036
Zn Tc Cl
3 1 1
direct
0.000 0.000 0.500
0.000 0.500 0.000
0.500 0.000 0.000
0.000 0.000 0.000
0.500 0.500 0.500



What should be chosen as the least stable of them? Choose 1.



1:
ZnTc3Cl | the Alexandria database | GGA-PBE | optimized geometry; calculated density = 8.00 Mg/m³; space-group type = No. 221; DOS at the Fermi energy = 4.02 states/eV per cell; crystal system = cubic
1.0
4.344 0.000 0.000
0.000 4.344 0.000
0.000 0.000 4.344
Zn Tc Cl
1 3 1
direct
0.000 0.000 0.000
0.000 0.500 0.500
0.500 0.000 0.500
0.500 0.500 0.000
0.500 0.500 0.500



2:
ZnTc3Cl | the Alexandria database | GGA-PBE | optimized geometry; calculated density = 5.75 Mg/m³; space-group type = No. 221; DOS at the Fermi energy = 11.19 states/eV per cell; crystal system = cubic
1.0
4.850 0.000 0.000
0.000 4.850 0.000
0.000 0.000 4.850
Zn Tc Cl
1 3 1
direct
0.000 0.000 0.000
0.000 0.000 0.500
0.000 0.500 0.000
0.500 0.000 0.000
0.500 0.500 0.500



What should be chosen as the least stable of them? Choose 2.



1:
ZrTc2Cl | the Alexandria database | GGA-PBE | optimized geometry; calculated density = 8.13 Mg/m³; space-group type = No. 123; DOS at the Fermi energy = 4.52 states/eV per cell; crystal system = tetragonal
1.0
4.529 0.000 0.000
0.000 4.529 0.000
0.000 0.000 3.212
Zr Tc Cl
1 2 1
direct
0.000 0.000 0.000
0.000 0.500 0.500
0.500 0.000 0.500
0.500 0.500 0.000



2:
ZrTc2Cl | the Alexandria database | GGA-PBE | optimized geometry; calculated density = 7.45 Mg/m³; space-group type = No. 8; DOS at the Fermi energy = 3.12 states/eV per cell; crystal system = monoclinic
1.0
4.500 -1.610 0.000
4.500 1.610 0.000
-1.747 0.000 4.964
Zr Tc Cl
1 2 1
direct
0.000 0.000 0.000
0.165 0.165 0.608
0.460 0.460 0.489
0.746 0.746 0.114



What should be chosen as the least stable of them? Choose 1.



1:
ZrTc2Cl | the Alexandria database | GGA-PBE | optimized geometry; calculated density = 7.84 Mg/m³; space-group type = No. 10; DOS at the Fermi energy = 3.49 states/eV per cell; crystal system = monoclinic
1.0
2.988 0.000 0.000
0.000 5.105 0.000
-0.166 0.000 4.479
Zr Tc Cl
1 2 1
direct
0.000 0.000 0.000
0.322 0.500 0.243
0.678 0.500 0.757
0.500 0.000 0.500



2:
ZrTc2Cl | the Alexandria database | GGA-PBE | optimized geometry; calculated density = 8.02 Mg/m³; space-group type = No. 216; DOS at the Fermi energy = 7.60 states/eV per cell; crystal system = cubic
1.0
0.000 3.220 3.220
3.220 0.000 3.220
3.220 3.220 0.000
Zr Tc Cl
1 2 1
direct
0.000 0.000 0.000
0.250 0.250 0.250
0.500 0.500 0.500
0.750 0.750 0.750



What should be chosen as the least stable of them? Choose 2.